Entry 1:
VASP calculation (PBE) on a geometry-optimized PaGa2Sb structure.

- symmetry = P4/mmm, No. 123
- VASP energy (eV/atom) = -5.331
- formation energy (no corrections) (meV per atom) = -413
- magnetic moment (μB per cell) = 0.0
- calculated volume (Å³/atom) = 21.624

abc: 4.4117 4.4117 4.4441
angles: 90.00 90.00 90.00
Closest atoms and distances in Å follow each position.
Fractional positions:
Pa: 0.0000 0.0000 0.0000  4 Sb 3.12, 8 Ga 3.13
Ga: 0.0000 0.5000 0.5000  4 Ga 3.12, 4 Sb 3.13, 4 Pa 3.13
Ga: 0.5000 0.0000 0.5000  4 Ga 3.12, 4 Sb 3.13, 4 Pa 3.13
Sb: 0.5000 0.5000 0.0000  4 Pa 3.12, 8 Ga 3.13



Entry 2:
VASP calculation (PBE) on a geometry-optimized BC2 structure.

- symmetry = Pmm2, No. 25
- VASP energy (eV/atom) = -8.057
- magnetic moment (μB per cell) = 0.0
- calculated volume (Å³/atom) = 6.376

abc: 2.5130 7.7369 3.9351
angles: 90.00 90.00 90.00
Closest atoms and distances in Å follow each position.
Fractional positions:
B: 0.0000 0.0000 0.0000  2 C 1.61
B: 0.0000 0.3412 0.0454  4 C 1.64-1.72
B: 0.0000 0.6588 0.0454  4 C 1.64-1.72
B: 0.5000 0.0000 0.3308  2 C 1.63, 2 B 1.81
C: 0.0000 0.1703 0.7650  2 C 1.52, 1 B 1.61
C: 0.0000 0.5000 0.7692  2 C 1.54, 2 B 1.64
C: 0.0000 0.8297 0.7650  2 C 1.52, 1 B 1.61
C: 0.5000 0.1794 0.5474  3 C 1.52, 1 B 1.63
C: 0.5000 0.3359 0.3145  2 C 1.52-1.56, 2 B 1.64
C: 0.5000 0.5000 0.5443  4 C 1.54-1.56
C: 0.5000 0.6641 0.3145  2 C 1.52-1.56, 2 B 1.64
C: 0.5000 0.8206 0.5474  3 C 1.52, 1 B 1.63



Entry 3:
VASP calculation (PBE) on a geometry-optimized NbTcN2 structure.

- symmetry = Fm-3m, No. 225
- VASP energy (eV/atom) = -9.054
- formation energy (no corrections) (meV per atom) = 218
- magnetic moment (μB per cell) = 1.6
- calculated volume (Å³/atom) = 10.242

abc: 3.8695 3.8695 3.8695
angles: 60.00 60.00 60.00
Closest atoms and distances in Å follow each position.
Fractional positions:
Nb: 0.0000 0.0000 0.0000  8 N 2.37
Tc: 0.5000 0.5000 0.5000  8 N 2.37
N: 0.2500 0.2500 0.2500  4 Nb 2.37, 4 Tc 2.37
N: 0.7500 0.7500 0.7500  4 Nb 2.37, 4 Tc 2.37



Entry 4:
VASP calculation (PBE) on a geometry-optimized Ca2InIr structure.

- symmetry = C2/m, No. 12
- VASP energy (eV/atom) = -3.983
- magnetic moment (μB per cell) = 0.0
- calculated volume (Å³/atom) = 26.930

abc: 4.1012 4.1012 8.8779
angles: 96.97 96.97 46.70
Closest atoms and distances in Å follow each position.
Fractional positions:
Ca: 0.2408 0.2408 0.1948  3 Ir 2.77-2.84
Ca: 0.7592 0.7592 0.8052  3 Ir 2.77-2.84
In: 0.0000 0.0000 0.5000  2 In 3.25, 6 Ca 3.45-3.52
Ir: 0.5000 0.5000 0.0000  6 Ca 2.77-2.84



Entry 5:
VASP calculation (PBE) on a geometry-optimized Na2In2GeSe6 structure.

- symmetry = Cc, No. 9
- VASP energy (eV/atom) = -3.753
- formation energy (no corrections) (meV per atom) = -695
- magnetic moment (μB per cell) = 0.0
- calculated volume (Å³/atom) = 30.275

abc: 7.6732 7.6732 13.0764
angles: 105.87 105.87 66.24
Closest atoms and distances in Å follow each position.
Fractional positions:
Na: 0.0748 0.9252 0.5000  5 Se 2.95-3.19
Na: 0.5165 0.9256 0.1765  4 Se 2.90-3.09
Na: 0.9252 0.0748 0.0000  5 Se 2.95-3.19
Na: 0.9256 0.5165 0.6765  4 Se 2.90-3.09
In: 0.2991 0.4160 0.0114  4 Se 2.62-2.66
In: 0.4160 0.2991 0.5114  4 Se 2.62-2.66
In: 0.4573 0.6222 0.8159  4 Se 2.61-2.67
In: 0.6222 0.4573 0.3159  4 Se 2.61-2.67
Ge: 0.0733 0.5137 0.2562  4 Se 2.37-2.40
Ge: 0.5137 0.0733 0.7562  4 Se 2.37-2.40
Se: 0.2122 0.2148 0.8159  1 Ge 2.37
Se: 0.2148 0.2122 0.3159  1 Ge 2.37
Se: 0.2178 0.6179 0.6294  2 In 2.62-2.63, 1 Na 2.90
Se: 0.2636 0.7157 0.3054  1 Ge 2.39, 1 In 2.66
Se: 0.2975 0.7448 0.9869  2 In 2.61-2.62
Se: 0.4645 0.9719 0.5652  1 Ge 2.38, 1 In 2.65
Se: 0.6179 0.2178 0.1294  2 In 2.62-2.63, 1 Na 2.90
Se: 0.7080 0.7974 0.8413  1 Ge 2.40, 1 In 2.67
Se: 0.7157 0.2636 0.8054  1 Ge 2.39, 1 In 2.66
Se: 0.7448 0.2975 0.4869  2 In 2.61-2.62
Se: 0.7974 0.7080 0.3413  1 Ge 2.40, 1 In 2.67
Se: 0.9719 0.4645 0.0652  1 Ge 2.38, 1 In 2.65



Entry 6:
VASP calculation (PBE) on a geometry-optimized Y2GaSiC structure.

- symmetry = P4/mmm, No. 123
- VASP energy (eV/atom) = -4.936
- formation energy (no corrections) (meV per atom) = 1184
- magnetic moment (μB per cell) = 0.0
- calculated volume (Å³/atom) = 24.646

abc: 5.3398 5.3398 4.3217
angles: 90.00 90.00 90.00
Closest atoms and distances in Å follow each position.
Fractional positions:
Y: 0.0000 0.5000 0.0000  2 Ga 2.67
Y: 0.5000 0.0000 0.0000  2 Ga 2.67
Ga: 0.0000 0.0000 0.0000  2 Si 2.16
Si: 0.0000 0.0000 0.5000  2 Ga 2.16
C: 0.5000 0.5000 0.5000  8 Y 3.43, 4 Si 3.78